VASP calculation (PBE) on LiSn3S6 after structural relaxation.

a = 6.5743 Å, b = 6.5743 Å, c = 7.1217 Å
α = 62.51°, β = 62.51°, γ = 60.00°
With the nearest neighbours (Å) after each atom.
Fractional coordinates of all 10 atoms:
Sn: 0.6520 0.6520 0.0440  6 S 2.56-2.65
Sn: 0.1436 0.1436 0.5693  6 S 2.66-2.80
Sn: 0.3416 0.3416 0.9751  6 S 2.59-2.61
S: 0.7264 0.0614 0.7495  3 Sn 2.59-2.66, 1 Li 2.79
S: 0.2589 0.9391 0.2473  1 Li 2.54, 3 Sn 2.56-2.80
S: 0.5547 0.2589 0.2473  1 Li 2.54, 3 Sn 2.56-2.80
S: 0.0614 0.4626 0.7495  3 Sn 2.59-2.66, 1 Li 2.79
S: 0.9391 0.5547 0.2473  1 Li 2.54, 3 Sn 2.56-2.80
S: 0.4626 0.7264 0.7495  3 Sn 2.59-2.66, 1 Li 2.79
Li: 0.8596 0.8596 0.4212  6 S 2.54-2.79

Output
* uncorrected formation energy: -10.5 kcal/mol of atoms